1.
The following is a GGA-PBE calculation of a relaxed KGeBr3 crystal, from Alexandria via LeMat-Bulk.

The structure in POSCAR format:
```
KGeBr3
1.0
-3.2411 14.7340 -4.4703
-2.4349 3.4149 -9.1801
-5.1627 -8.4558 -1.9261
Br Ge K
12 4 4
Direct
0.0752 0.9792 0.8928 Br
0.0886 0.2320 0.1969 Br
0.9114 0.7680 0.8031 Br
0.6422 0.8543 0.8949 Br
0.5886 0.3031 0.2680 Br
0.5752 0.6072 0.5208 Br
0.9248 0.0208 0.1072 Br
0.8578 0.3949 0.3543 Br
0.3578 0.1457 0.1051 Br
0.4248 0.3928 0.4792 Br
0.1422 0.6051 0.6457 Br
0.4114 0.6969 0.7320 Br
0.2500 0.8246 0.3246 Ge
0.7500 0.5048 0.0048 Ge
0.7500 0.1754 0.6754 Ge
0.2500 0.4952 0.9952 Ge
0.4129 0.7799 0.0396 K
0.5871 0.2201 0.9604 K
0.9129 0.4604 0.7201 K
0.0871 0.5396 0.2799 K
```

Formation energy without anion corrections, eV per atom: -1.00
Total moment, μB per formula unit: 0.0
Density of states at the Fermi level, states/eV/cell: 0.0
Raw total energy, eV per formula unit: -15.758

=====

2.
The following is a GGA-PBE calculation of a relaxed CeThTlZn crystal, from Alexandria via LeMat-Bulk.

The structure in POSCAR format:
```
CeThTlZn
1.0
-2.7374 3.4278 -3.0832
0.2046 -0.4457 -5.3394
-4.3041 -1.6869 -2.7163
Zn Tl Ce Th
1 1 1 1
Direct
0.0000 0.0000 0.0000 Zn
0.5000 0.5000 0.5000 Tl
0.2500 0.2500 0.2500 Ce
0.7500 0.7500 0.7500 Th
```

E above lowest polymorph, meV/atom: 59
Total moment, μB per formula unit: 0.9
E_form, meV per atom: -111
Density of states at the Fermi level, states/eV/cell: 9.3
Raw total energy, eV per formula unit: -17.436

=====

3.
The following is a GGA-PBE calculation of a relaxed Y2BiN crystal, from Alexandria via LeMat-Bulk.

The structure in POSCAR format:
```
Y2BiN
1.0
-3.4993 5.8530 -1.6148
-5.0847 -1.8064 4.4712
-2.3691 3.9961 4.4120
Y Bi N
4 2 2
Direct
0.2289 0.6250 0.2500 Y
0.3750 0.4789 0.7500 Y
0.8750 0.7711 0.7500 Y
0.5211 0.1250 0.2500 Y
0.0000 0.0000 0.0000 Bi
0.7500 0.2500 0.5000 Bi
0.5000 0.5000 0.0000 N
0.2500 0.7500 0.5000 N
```

E above lowest polymorph, meV/atom: 175
Formation energy without anion corrections, eV per atom: -1.09
Total moment, μB per formula unit: 0.0
Density of states at the Fermi level, states/eV/cell: 0.0
Raw total energy, eV per formula unit: -29.504

=====

4.
The following is a GGA-PBE calculation of a relaxed FeSnH2 crystal, from Alexandria via LeMat-Bulk.

The structure in POSCAR format:
```
FeSnH2
1.0
-1.4285 0.8707 -3.4167
1.8786 -2.9318 -1.5326
-3.9701 -4.2117 -1.5314
H Sn Fe
4 2 2
Direct
0.3745 0.1250 0.2500 H
0.8750 0.6245 0.7500 H
0.3755 0.6250 0.2500 H
0.3750 0.6255 0.7500 H
0.0000 0.0000 0.0000 Sn
0.7500 0.2500 0.5000 Sn
0.2500 0.7500 0.5000 Fe
0.5000 0.5000 0.0000 Fe
```

Total moment, μB per formula unit: 0.0
Density of states at the Fermi level, states/eV/cell: 3.2
Raw total energy, eV per formula unit: -17.593

=====

5.
The following is a GGA-PBE calculation of a relaxed Y2TiAlGa crystal, from Alexandria via LeMat-Bulk.

The structure in POSCAR format:
```
Y2TiAlGa
1.0
5.1848 0.0000 0.0000
0.0000 5.0124 0.0000
0.0000 0.0000 5.1848
Ga Al Ti Y
1 1 1 2
Direct
0.0000 0.5000 0.0000 Ga
0.5000 0.5000 0.5000 Al
0.0000 0.0000 0.0000 Ti
0.5000 0.0000 0.0000 Y
0.0000 0.0000 0.5000 Y
```

E above lowest polymorph, meV/atom: 124
Total moment, μB per formula unit: 0.0
E_form, meV per atom: 502
Density of states at the Fermi level, states/eV/cell: 4.4
Raw total energy, eV per formula unit: -25.083

=====

6.
The following is a GGA-PBE calculation of a relaxed Rb2SrSiS4 crystal, from Alexandria via LeMat-Bulk.

The structure in POSCAR format:
```
Rb2SrSiS4
1.0
8.3051 0.0841 0.2343
0.0782 8.3052 0.2343
-3.9072 -3.9099 6.9516
S Rb Sr Si
8 4 2 2
Direct
0.2698 0.6531 0.4257 S
0.6595 0.6453 0.4344 S
0.1453 0.1595 0.9344 S
0.1531 0.7698 0.9257 S
0.7302 0.3469 0.5743 S
0.8469 0.2302 0.0743 S
0.8547 0.8405 0.0656 S
0.3405 0.3547 0.5656 S
0.5000 0.5000 0.0000 Rb
0.0000 0.0000 0.5000 Rb
0.5000 0.0000 0.0000 Rb
0.5000 0.0000 0.5000 Rb
0.0000 0.5000 0.0000 Sr
0.0000 0.5000 0.5000 Sr
0.5000 0.5000 0.5000 Si
0.0000 0.0000 0.0000 Si
```

Formation energy without anion corrections, eV per atom: -0.97
Total moment, μB per formula unit: 0.0
Raw total energy, eV per formula unit: -33.349

=====

7.
The following is a GGA-PBE calculation of a relaxed KEuPd4 crystal, from Alexandria via LeMat-Bulk.

The structure in POSCAR format:
```
KEuPd4
1.0
5.5580 0.0000 0.0000
2.7790 4.8134 0.0000
2.7790 1.6045 4.5381
K Pd Eu
1 4 1
Direct
0.2500 0.2500 0.2500 K
0.6253 0.1242 0.6252 Pd
0.1242 0.6252 0.6252 Pd
0.6253 0.6252 0.6252 Pd
0.6253 0.6252 0.1242 Pd
0.0000 0.0000 0.0000 Eu
```

Total moment, μB per formula unit: 6.7
E_form, meV per atom: -390
Density of states at the Fermi level, states/eV/cell: 18.1
Raw total energy, eV per formula unit: -34.485

=====

8.
The following is a GGA-PBE calculation of a relaxed SiB2Ir4 crystal, from Alexandria via LeMat-Bulk.

The structure in POSCAR format:
```
SiB2Ir4
1.0
4.4534 0.0000 0.0000
0.0000 4.4534 0.0000
2.2267 2.2267 5.1664
Ir B Si
4 2 1
Direct
0.5000 0.0000 0.0000 Ir
0.7717 0.7717 0.4566 Ir
0.2283 0.2283 0.5434 Ir
0.0000 0.5000 0.0000 Ir
0.5813 0.5813 0.8373 B
0.4187 0.4187 0.1627 B
0.0000 0.0000 0.0000 Si
```

Formation energy without anion corrections, eV per atom: 0.81
Total moment, μB per formula unit: 0.0
Density of states at the Fermi level, states/eV/cell: 6.0
Raw total energy, eV per formula unit: -48.530

=====

9.
The following is a GGA-PBE calculation of a relaxed Na2ReTcO6 crystal, from Alexandria via LeMat-Bulk.

The structure in POSCAR format:
```
Na2ReTcO6
1.0
3.8642 0.0000 0.0000
0.0000 5.5077 0.0000
0.0000 0.0000 5.5077
Na O Re Tc
2 6 1 1
Direct
0.1440 0.5000 0.0000 Na
0.1440 0.0000 0.5000 Na
0.1448 0.5000 0.5000 O
0.1448 0.0000 0.0000 O
0.6449 0.2463 0.2463 O
0.6449 0.2463 0.7537 O
0.6449 0.7537 0.7537 O
0.6449 0.7537 0.2463 O
0.6448 0.0000 0.0000 Re
0.6448 0.5000 0.5000 Tc
```

Formation energy without anion corrections, eV per atom: -1.63
Total moment, μB per formula unit: 0.0
Density of states at the Fermi level, states/eV/cell: 3.5
Raw total energy, eV per formula unit: -71.504

=====

10.
The following is a GGA-PBE calculation of a relaxed CsSO2F crystal, from Alexandria via LeMat-Bulk.

The structure in POSCAR format:
```
CsSO2F
1.0
-5.2557 3.6916 0.9161
-4.3150 -5.0045 -4.5885
-2.1426 -4.8679 7.3241
S F Cs O
4 4 4 8
Direct
0.7500 0.1649 0.0381 S
0.7500 0.3351 0.5381 S
0.2500 0.8351 0.9619 S
0.2500 0.6649 0.4619 S
0.2500 0.9714 0.8047 F
0.2500 0.5286 0.3047 F
0.7500 0.0286 0.1953 F
0.7500 0.4714 0.6953 F
0.7500 0.6286 0.1830 Cs
0.2500 0.3714 0.8170 Cs
0.7500 0.8714 0.6830 Cs
0.2500 0.1286 0.3170 Cs
0.5610 0.2381 0.5698 O
0.0610 0.7619 0.4302 O
0.4390 0.7619 0.4302 O
0.0610 0.7381 0.9302 O
0.9390 0.2381 0.5698 O
0.5610 0.2619 0.0698 O
0.4390 0.7381 0.9302 O
0.9390 0.2619 0.0698 O
```

Formation energy without anion corrections, eV per atom: -1.83
Total moment, μB per formula unit: 0.0
Density of states at the Fermi level, states/eV/cell: 0.0
Raw total energy, eV per formula unit: -25.931

=====

11.
The following is a GGA-PBE calculation of a relaxed Rb2PmGeTe4 crystal, from Alexandria via LeMat-Bulk.

The structure in POSCAR format:
```
Rb2PmGeTe4
1.0
9.5107 0.0040 0.0727
-0.0026 9.5107 0.0727
-4.5946 -4.5978 6.6495
Rb Te Pm Ge
4 8 2 2
Direct
0.0000 0.0000 0.5000 Rb
0.5000 0.5000 0.0000 Rb
0.5000 0.0000 0.5000 Rb
0.5000 0.0000 0.0000 Rb
0.2337 0.2661 0.4536 Te
0.7663 0.7339 0.5464 Te
0.2339 0.2663 0.0464 Te
0.7661 0.7337 0.9536 Te
0.8005 0.2583 0.0294 Te
0.7583 0.3005 0.5294 Te
0.1995 0.7417 0.9706 Te
0.2417 0.6995 0.4706 Te
0.0000 0.5000 0.0000 Pm
0.0000 0.5000 0.5000 Pm
0.0000 0.0000 0.0000 Ge
0.5000 0.5000 0.5000 Ge
```

Formation energy without anion corrections, eV per atom: -0.81
Total moment, μB per formula unit: 0.0
Density of states at the Fermi level, states/eV/cell: 19.4
Raw total energy, eV per formula unit: -30.314

=====

12.
The following is a GGA-PBE calculation of a relaxed LaNiAu crystal, from Alexandria via LeMat-Bulk.

The structure in POSCAR format:
```
LaNiAu
1.0
5.5377 0.0000 0.0000
0.0000 6.3498 0.0076
0.0000 -2.8506 7.1846
Ni La Au
4 4 4
Direct
0.1162 0.8305 0.4741 Ni
0.8838 0.1695 0.5259 Ni
0.3838 0.8305 0.9741 Ni
0.6162 0.1695 0.0259 Ni
0.1111 0.1942 0.8756 La
0.8889 0.8058 0.1244 La
0.3889 0.1942 0.3756 La
0.6111 0.8058 0.6244 La
0.0934 0.5938 0.7014 Au
0.5934 0.4062 0.7986 Au
0.4066 0.5938 0.2014 Au
0.9066 0.4062 0.2986 Au
```

Total moment, μB per formula unit: 0.0
E_form, meV per atom: -570
Density of states at the Fermi level, states/eV/cell: 8.1
Raw total energy, eV per formula unit: -15.695

=====

- total moment of number 6 (Rb2SrSiS4)?
  0.0 μB per formula unit

=====

- Which value of total moment does entry 4 give?
  0.0 μB per formula unit